A plane-wave DFT calculation with PBE was carried out for crystalline AcPrSi2Pd5 at its relaxed geometry.

Results
Raw formation energy: -81.2 kJ per mole of atoms
Total magnetization: 0.00 μB/cell

a b c (Å): 4.424 4.424 8.860
angles (deg): 90.00 90.00 90.00
Space group P4/mmm (No. 123)
Asymmetric unit:
Ac 0.000 0.000 0.000
Pr 0.000 0.000 0.500
Si 0.500 0.500 0.147
Pd 0.000 0.500 0.271
Pd 0.500 0.500 0.500